1.
# Li2MoPt PBE-GGA relaxed
data_Li2MoPt
_symmetry_space_group_name_H-M 'R -3 m'
_symmetry_Int_Tables_number 166
_symmetry_space_group_name_Hall '-R 3 2"'
_cell_length_a 2.7238
_cell_length_b 2.7238
_cell_length_c 27.7709
_cell_angle_alpha 90.00
_cell_angle_beta 90.00
_cell_angle_gamma 120.00
loop_
_atom_site_label
_atom_site_type_symbol
_atom_site_fract_x
_atom_site_fract_y
_atom_site_fract_z
_atom_site_occupancy
Li1 Li 0.0000 0.0000 0.2433 1
Mo1 Mo 0.0000 0.0000 0.0000 1
Pt1 Pt 0.0000 0.0000 0.5000 1
# V ... 14.870 A^3/atom
# Theoretical density ... 8.5 g cm⁻³
# Electronic total energy ... -5.2457 eV per atom

2.
# Li2MoPt PBE-GGA relaxed
data_Li2MoPt
_symmetry_space_group_name_H-M 'P 4/m m m'
_symmetry_Int_Tables_number 123
_symmetry_space_group_name_Hall '-P 4 2'
_cell_length_a 2.6256
_cell_length_b 2.6256
_cell_length_c 8.6047
_cell_angle_alpha 90.00
_cell_angle_beta 90.00
_cell_angle_gamma 90.00
loop_
_atom_site_label
_atom_site_type_symbol
_atom_site_fract_x
_atom_site_fract_y
_atom_site_fract_z
_atom_site_occupancy
Li1 Li 0.0000 0.0000 0.2225 1
Mo1 Mo 0.5000 0.5000 0.5000 1
Pt1 Pt 0.5000 0.5000 0.0000 1
# V ... 14.830 A^3/atom
# Theoretical density ... 8.5 g cm⁻³
# Electronic total energy ... -5.1808 eV per atom

3.
# LiMoPt14 PBE-GGA relaxed
data_LiMoPt14
_symmetry_space_group_name_H-M 'P 4/m m m'
_symmetry_Int_Tables_number 123
_symmetry_space_group_name_Hall '-P 4 2'
_cell_length_a 5.5879
_cell_length_b 5.5879
_cell_length_c 7.8711
_cell_angle_alpha 90.00
_cell_angle_beta 90.00
_cell_angle_gamma 90.00
loop_
_atom_site_label
_atom_site_type_symbol
_atom_site_fract_x
_atom_site_fract_y
_atom_site_fract_z
_atom_site_occupancy
Li1 Li 0.0000 0.0000 0.0000 1
Mo1 Mo 0.5000 0.5000 0.0000 1
Pt1 Pt 0.0000 0.0000 0.5000 1
Pt2 Pt 0.0000 0.5000 0.0000 1
Pt3 Pt 0.0000 0.5000 0.5000 1
Pt4 Pt 0.2506 0.2506 0.2427 1
Pt5 Pt 0.5000 0.5000 0.5000 1
# V ... 15.361 A^3/atom
# Theoretical density ... 19.1 g cm⁻³
# Electronic total energy ... -6.2912 eV per atom

4.
# Li2MoPt PBE-GGA relaxed
data_Li2MoPt
_symmetry_space_group_name_H-M 'P m m m'
_symmetry_Int_Tables_number 47
_symmetry_space_group_name_Hall '-P 2 2'
_cell_length_a 2.6541
_cell_length_b 4.2365
_cell_length_c 5.1981
_cell_angle_alpha 90.00
_cell_angle_beta 90.00
_cell_angle_gamma 90.00
loop_
_atom_site_label
_atom_site_type_symbol
_atom_site_fract_x
_atom_site_fract_y
_atom_site_fract_z
_atom_site_occupancy
Li1 Li 0.0000 0.0000 0.2349 1
Mo1 Mo 0.5000 0.5000 0.5000 1
Pt1 Pt 0.5000 0.5000 0.0000 1
# V ... 14.612 A^3/atom
# Theoretical density ... 8.7 g cm⁻³
# Electronic total energy ... -5.1104 eV per atom

5.
# LiMoPt PBE-GGA relaxed
data_LiMoPt
_symmetry_space_group_name_H-M 'F -4 3 m'
_symmetry_Int_Tables_number 216
_symmetry_space_group_name_Hall 'F -4 2 3'
_cell_length_a 5.8996
_cell_length_b 5.8996
_cell_length_c 5.8996
_cell_angle_alpha 90.00
_cell_angle_beta 90.00
_cell_angle_gamma 90.00
loop_
_atom_site_label
_atom_site_type_symbol
_atom_site_fract_x
_atom_site_fract_y
_atom_site_fract_z
_atom_site_occupancy
Li1 Li 0.0000 0.0000 0.0000 1
Mo1 Mo 0.2500 0.2500 0.7500 1
Pt1 Pt 0.0000 0.0000 0.5000 1
# V ... 17.112 A^3/atom
# Theoretical density ... 9.6 g cm⁻³
# Electronic total energy ... -5.8740 eV per atom

6.
# Li2MoPt PBE-GGA relaxed
data_Li2MoPt
_symmetry_space_group_name_H-M 'F -4 3 m'
_symmetry_Int_Tables_number 216
_symmetry_space_group_name_Hall 'F -4 2 3'
_cell_length_a 6.0606
_cell_length_b 6.0606
_cell_length_c 6.0606
_cell_angle_alpha 90.00
_cell_angle_beta 90.00
_cell_angle_gamma 90.00
loop_
_atom_site_label
_atom_site_type_symbol
_atom_site_fract_x
_atom_site_fract_y
_atom_site_fract_z
_atom_site_occupancy
Li1 Li 0.0000 0.0000 0.0000 1
Li2 Li 0.2500 0.2500 0.2500 1
Mo1 Mo 0.2500 0.2500 0.7500 1
Pt1 Pt 0.0000 0.0000 0.5000 1
# V ... 13.913 A^3/atom
# Theoretical density ... 9.1 g cm⁻³
# Electronic total energy ... -5.2876 eV per atom